Here is an optimized crystal structure of AlSiRhPb2 from Alexandria via LeMat-Bulk. Energies are from PBE.

Output
The density is 7271 kg/m3. The total energy is -4.001 eV per atom. The value obtained for the raw formation energy is 785 meV per atom. The symmetry is P4/mmm.

abc: 5.369 5.369 4.534
angles: 90.00 90.00 90.00
Sites, in units of the cell vectors:
Al1 0.000 0.000 0.000
Si1 0.500 0.500 0.500
Rh1 0.000 0.000 0.500
Pb1 0.000 0.500 0.000
Pb2 0.500 0.000 0.000